Arrangement P

The following is a DFT calculation (GGA-PBE) of crystalline Ca2GeF at its relaxed geometry. Values from VASP.

Structure (Quantum ESPRESSO input):
```
&SYSTEM
  ibrav = 0, nat = 4, ntyp = 3
/
ATOMIC_SPECIES
Ca 40.08 Ca.upf
Ge 72.64 Ge.upf
F 19.00 F.upf
CELL_PARAMETERS angstrom
1.961 1.132 6.748
-1.961 1.132 6.748
0.000 -2.264 6.748
ATOMIC_POSITIONS crystal
Ca 0.243 0.243 0.243
Ca 0.757 0.757 0.757
Ge 0.000 0.000 0.000
F 0.500 0.500 0.500
```



Arrangement Q

The following is a DFT calculation (GGA-PBE) of crystalline Ca2GeF at its relaxed geometry. Values from VASP.

Structure (Quantum ESPRESSO input):
```
&SYSTEM
  ibrav = 0, nat = 8, ntyp = 3
/
ATOMIC_SPECIES
Ca 40.08 Ca.upf
Ge 72.64 Ge.upf
F 19.00 F.upf
CELL_PARAMETERS angstrom
-3.497 3.497 3.836
3.497 -3.497 3.836
3.497 3.497 -3.836
ATOMIC_POSITIONS crystal
Ca 0.054 0.125 0.429
Ca 0.375 0.946 0.071
Ca 0.696 0.625 0.571
Ca 0.875 0.304 0.929
Ge 0.250 0.750 0.500
Ge 0.500 0.500 0.000
F 0.000 0.000 0.000
F 0.750 0.250 0.500
```



Arrangement R

The following is a DFT calculation (GGA-PBE) of crystalline Ca2GeF at its relaxed geometry. Values from VASP.

Structure (Quantum ESPRESSO input):
```
&SYSTEM
  ibrav = 0, nat = 4, ntyp = 3
/
ATOMIC_SPECIES
Ca 40.08 Ca.upf
Ge 72.64 Ge.upf
F 19.00 F.upf
CELL_PARAMETERS angstrom
0.000 3.555 3.555
3.555 0.000 3.555
3.555 3.555 0.000
ATOMIC_POSITIONS crystal
Ca 0.250 0.250 0.250
Ca 0.750 0.750 0.750
Ge 0.000 0.000 0.000
F 0.500 0.500 0.500
```



Stability ranking, top and bottom: arrangement Q is the most stable and arrangement R is the least stable.



Arrangement P

The following is a DFT calculation (GGA-PBE) of crystalline CaGe2F6 at its relaxed geometry. Values from VASP.

Structure (Quantum ESPRESSO input):
```
&SYSTEM
  ibrav = 0, nat = 18, ntyp = 3
/
ATOMIC_SPECIES
Ca 40.08 Ca.upf
Ge 72.64 Ge.upf
F 19.00 F.upf
CELL_PARAMETERS angstrom
4.635 -5.932 0.000
4.635 5.932 0.000
-3.428 0.000 5.358
ATOMIC_POSITIONS crystal
Ca 0.095 0.905 0.750
Ca 0.905 0.095 0.250
Ge 0.257 0.486 0.893
Ge 0.486 0.257 0.393
Ge 0.514 0.743 0.607
Ge 0.743 0.514 0.107
F 0.057 0.191 0.692
F 0.089 0.637 0.861
F 0.191 0.057 0.192
F 0.223 0.439 0.566
F 0.363 0.911 0.639
F 0.439 0.223 0.066
F 0.561 0.777 0.934
F 0.637 0.089 0.361
F 0.777 0.561 0.434
F 0.809 0.943 0.808
F 0.911 0.363 0.139
F 0.943 0.809 0.308
```



Arrangement Q

The following is a DFT calculation (GGA-PBE) of crystalline CaGe2F6 at its relaxed geometry. Values from VASP.

Structure (Quantum ESPRESSO input):
```
&SYSTEM
  ibrav = 0, nat = 18, ntyp = 3
/
ATOMIC_SPECIES
Ca 40.08 Ca.upf
Ge 72.64 Ge.upf
F 19.00 F.upf
CELL_PARAMETERS angstrom
6.805 -4.442 0.000
6.805 4.442 0.000
-1.200 0.000 5.610
ATOMIC_POSITIONS crystal
Ca 0.125 0.875 0.750
Ca 0.875 0.125 0.250
Ge 0.107 0.397 0.776
Ge 0.397 0.107 0.276
Ge 0.603 0.893 0.724
Ge 0.893 0.603 0.224
F 0.042 0.149 0.609
F 0.149 0.042 0.109
F 0.201 0.585 0.829
F 0.237 0.319 0.469
F 0.319 0.237 0.969
F 0.415 0.799 0.671
F 0.585 0.201 0.329
F 0.681 0.763 0.031
F 0.763 0.681 0.531
F 0.799 0.415 0.171
F 0.851 0.958 0.891
F 0.958 0.851 0.391
```



Stability ranking, top and bottom: arrangement P is the most stable and arrangement Q is the least stable.



Arrangement P

The following is a DFT calculation (GGA-PBE) of crystalline CaGe2F at its relaxed geometry. Values from VASP.

Structure (Quantum ESPRESSO input):
```
&SYSTEM
  ibrav = 0, nat = 8, ntyp = 3
/
ATOMIC_SPECIES
Ca 40.08 Ca.upf
Ge 72.64 Ge.upf
F 19.00 F.upf
CELL_PARAMETERS angstrom
-1.800 1.800 12.246
1.800 -1.800 12.246
1.800 1.800 -12.246
ATOMIC_POSITIONS crystal
Ca 0.000 0.000 0.000
Ca 0.750 0.250 0.500
Ge 0.121 0.125 0.496
Ge 0.375 0.879 0.004
Ge 0.629 0.625 0.504
Ge 0.875 0.371 0.996
F 0.250 0.750 0.500
F 0.500 0.500 0.000
```



Arrangement Q

The following is a DFT calculation (GGA-PBE) of crystalline CaGe2F at its relaxed geometry. Values from VASP.

Structure (Quantum ESPRESSO input):
```
&SYSTEM
  ibrav = 0, nat = 4, ntyp = 3
/
ATOMIC_SPECIES
Ca 40.08 Ca.upf
Ge 72.64 Ge.upf
F 19.00 F.upf
CELL_PARAMETERS angstrom
0.000 3.435 3.435
3.435 0.000 3.435
3.435 3.435 0.000
ATOMIC_POSITIONS crystal
Ca 0.000 0.000 0.000
Ge 0.250 0.250 0.250
Ge 0.750 0.750 0.750
F 0.500 0.500 0.500
```



Stability ranking, top and bottom: arrangement P is the most stable and arrangement Q is the least stable.



Arrangement P

The following is a DFT calculation (GGA-PBE) of crystalline CaGe3F at its relaxed geometry. Values from VASP.

Structure (Quantum ESPRESSO input):
```
&SYSTEM
  ibrav = 0, nat = 5, ntyp = 3
/
ATOMIC_SPECIES
Ca 40.08 Ca.upf
Ge 72.64 Ge.upf
F 19.00 F.upf
CELL_PARAMETERS angstrom
5.550 0.000 0.000
0.000 5.550 0.000
0.000 0.000 5.550
ATOMIC_POSITIONS crystal
Ca 0.000 0.000 0.000
Ge 0.000 0.000 0.500
Ge 0.000 0.500 0.000
Ge 0.500 0.000 0.000
F 0.500 0.500 0.500
```



Arrangement Q

The following is a DFT calculation (GGA-PBE) of crystalline CaGe3F at its relaxed geometry. Values from VASP.

Structure (Quantum ESPRESSO input):
```
&SYSTEM
  ibrav = 0, nat = 5, ntyp = 3
/
ATOMIC_SPECIES
Ca 40.08 Ca.upf
Ge 72.64 Ge.upf
F 19.00 F.upf
CELL_PARAMETERS angstrom
4.686 0.000 0.000
0.000 4.686 0.000
0.000 0.000 4.686
ATOMIC_POSITIONS crystal
Ca 0.000 0.000 0.000
Ge 0.000 0.500 0.500
Ge 0.500 0.000 0.500
Ge 0.500 0.500 0.000
F 0.500 0.500 0.500
```



Stability ranking, top and bottom: arrangement Q is the most stable and arrangement P is the least stable.



Arrangement P

The following is a DFT calculation (GGA-PBE) of crystalline CaGeF3 at its relaxed geometry. Values from VASP.

Structure (Quantum ESPRESSO input):
```
&SYSTEM
  ibrav = 0, nat = 5, ntyp = 3
/
ATOMIC_SPECIES
Ca 40.08 Ca.upf
Ge 72.64 Ge.upf
F 19.00 F.upf
CELL_PARAMETERS angstrom
4.433 0.000 0.000
0.000 4.433 0.000
0.000 0.000 4.433
ATOMIC_POSITIONS crystal
Ca 0.000 0.000 0.000
Ge 0.500 0.500 0.500
F 0.000 0.000 0.500
F 0.000 0.500 0.000
F 0.500 0.000 0.000
```



Arrangement Q

The following is a DFT calculation (GGA-PBE) of crystalline CaGeF3 at its relaxed geometry. Values from VASP.

Structure (Quantum ESPRESSO input):
```
&SYSTEM
  ibrav = 0, nat = 5, ntyp = 3
/
ATOMIC_SPECIES
Ca 40.08 Ca.upf
Ge 72.64 Ge.upf
F 19.00 F.upf
CELL_PARAMETERS angstrom
4.486 0.000 0.000
0.000 4.486 0.000
0.000 0.000 4.486
ATOMIC_POSITIONS crystal
Ca 0.000 0.000 0.000
Ge 0.500 0.500 0.500
F 0.000 0.500 0.500
F 0.500 0.000 0.500
F 0.500 0.500 0.000
```



Stability ranking, top and bottom: arrangement P is the most stable and arrangement Q is the least stable.



Arrangement P

The following is a DFT calculation (GGA-PBE) of crystalline CaGeN2F at its relaxed geometry. Values from VASP.

Structure (Quantum ESPRESSO input):
```
&SYSTEM
  ibrav = 0, nat = 5, ntyp = 4
/
ATOMIC_SPECIES
Ca 40.08 Ca.upf
Ge 72.64 Ge.upf
N 14.01 N.upf
F 19.00 F.upf
CELL_PARAMETERS angstrom
4.618 0.000 0.000
0.000 4.618 0.000
0.000 0.000 4.163
ATOMIC_POSITIONS crystal
Ca 0.000 0.000 0.000
Ge 0.500 0.500 0.500
N 0.000 0.500 0.000
N 0.500 0.000 0.000
F 0.000 0.000 0.500
```



Arrangement Q

The following is a DFT calculation (GGA-PBE) of crystalline CaGeN2F at its relaxed geometry. Values from VASP.

Structure (Quantum ESPRESSO input):
```
&SYSTEM
  ibrav = 0, nat = 5, ntyp = 4
/
ATOMIC_SPECIES
Ca 40.08 Ca.upf
Ge 72.64 Ge.upf
N 14.01 N.upf
F 19.00 F.upf
CELL_PARAMETERS angstrom
3.781 0.000 0.000
0.000 3.781 0.000
0.000 0.000 4.184
ATOMIC_POSITIONS crystal
Ca 0.000 0.000 0.000
Ge 0.500 0.500 0.500
N 0.000 0.500 0.500
N 0.500 0.000 0.500
F 0.500 0.500 0.000
```



Stability ranking, top and bottom: arrangement Q is the most stable and arrangement P is the least stable.



Arrangement P

The following is a DFT calculation (GGA-PBE) of crystalline CaHF3 at its relaxed geometry. Values from VASP.

Structure (Quantum ESPRESSO input):
```
&SYSTEM
  ibrav = 0, nat = 5, ntyp = 3
/
ATOMIC_SPECIES
Ca 40.08 Ca.upf
H 1.01 H.upf
F 19.00 F.upf
CELL_PARAMETERS angstrom
3.575 0.000 0.000
0.000 3.575 0.000
0.000 0.000 3.575
ATOMIC_POSITIONS crystal
Ca 0.000 0.000 0.000
H 0.500 0.500 0.500
F 0.000 0.500 0.500
F 0.500 0.000 0.500
F 0.500 0.500 0.000
```



Arrangement Q

The following is a DFT calculation (GGA-PBE) of crystalline CaHF3 at its relaxed geometry. Values from VASP.

Structure (Quantum ESPRESSO input):
```
&SYSTEM
  ibrav = 0, nat = 20, ntyp = 3
/
ATOMIC_SPECIES
Ca 40.08 Ca.upf
H 1.01 H.upf
F 19.00 F.upf
CELL_PARAMETERS angstrom
5.468 0.000 0.000
0.000 6.030 0.000
-3.455 0.000 7.711
ATOMIC_POSITIONS crystal
Ca 0.166 0.150 0.203
Ca 0.166 0.350 0.703
Ca 0.834 0.650 0.297
Ca 0.834 0.850 0.797
H 0.295 0.554 0.064
H 0.295 0.946 0.564
H 0.705 0.054 0.436
H 0.705 0.446 0.936
F 0.115 0.143 0.920
F 0.115 0.357 0.420
F 0.203 0.613 0.924
F 0.203 0.887 0.424
F 0.400 0.007 0.705
F 0.400 0.493 0.205
F 0.600 0.507 0.795
F 0.600 0.993 0.295
F 0.797 0.113 0.576
F 0.797 0.387 0.076
F 0.885 0.643 0.580
F 0.885 0.857 0.080
```



Arrangement R

The following is a DFT calculation (GGA-PBE) of crystalline CaHF3 at its relaxed geometry. Values from VASP.

Structure (Quantum ESPRESSO input):
```
&SYSTEM
  ibrav = 0, nat = 5, ntyp = 3
/
ATOMIC_SPECIES
Ca 40.08 Ca.upf
H 1.01 H.upf
F 19.00 F.upf
CELL_PARAMETERS angstrom
4.489 0.000 0.000
0.000 4.489 0.000
0.000 0.000 4.489
ATOMIC_POSITIONS crystal
Ca 0.000 0.000 0.000
H 0.500 0.500 0.500
F 0.000 0.000 0.500
F 0.000 0.500 0.000
F 0.500 0.000 0.000
```



Stability ranking, top and bottom: arrangement Q is the most stable and arrangement R is the least stable.



Arrangement P

The following is a DFT calculation (GGA-PBE) of crystalline CaHF at its relaxed geometry. Values from VASP.

Structure (Quantum ESPRESSO input):
```
&SYSTEM
  ibrav = 0, nat = 6, ntyp = 3
/
ATOMIC_SPECIES
Ca 40.08 Ca.upf
H 1.01 H.upf
F 19.00 F.upf
CELL_PARAMETERS angstrom
3.622 0.000 0.000
-1.811 3.136 0.000
0.000 0.000 10.739
ATOMIC_POSITIONS crystal
Ca 0.000 0.000 0.000
Ca 0.000 0.000 0.500
H 0.333 0.667 0.089
H 0.667 0.333 0.589
F 0.333 0.667 0.414
F 0.667 0.333 0.914
```



Arrangement Q

The following is a DFT calculation (GGA-PBE) of crystalline CaHF at its relaxed geometry. Values from VASP.

Structure (Quantum ESPRESSO input):
```
&SYSTEM
  ibrav = 0, nat = 3, ntyp = 3
/
ATOMIC_SPECIES
Ca 40.08 Ca.upf
H 1.01 H.upf
F 19.00 F.upf
CELL_PARAMETERS angstrom
0.000 2.738 2.738
2.738 0.000 2.738
2.738 2.738 0.000
ATOMIC_POSITIONS crystal
Ca 0.000 0.000 0.000
H 0.750 0.750 0.750
F 0.250 0.250 0.250
```



Arrangement R

The following is a DFT calculation (GGA-PBE) of crystalline CaHF at its relaxed geometry. Values from VASP.

Structure (Quantum ESPRESSO input):
```
&SYSTEM
  ibrav = 0, nat = 3, ntyp = 3
/
ATOMIC_SPECIES
Ca 40.08 Ca.upf
H 1.01 H.upf
F 19.00 F.upf
CELL_PARAMETERS angstrom
-1.626 1.626 3.451
1.626 -1.626 3.451
1.626 1.626 -3.451
ATOMIC_POSITIONS crystal
Ca 0.000 0.000 0.000
H 0.663 0.663 0.000
F 0.345 0.345 0.000
```



Stability ranking, top and bottom: arrangement Q is the most stable and arrangement R is the least stable.